# 1
! AlInGe2 (GGA-PBE, optimized geometry); values from VASP
&SYSTEM
  ibrav = 0, nat = 4, ntyp = 3
/
ATOMIC_SPECIES
Al 26.98 Al.upf
In 114.82 In.upf
Ge 72.64 Ge.upf
CELL_PARAMETERS angstrom
3.338 0.000 0.000
0.000 3.338 0.000
0.000 0.000 7.530
ATOMIC_POSITIONS crystal
Al 0.000 0.000 0.000
In 0.000 0.000 0.500
Ge 0.500 0.500 0.199
Ge 0.500 0.500 0.801
! Symmetry: No. 123
! Total energy, eV/atom: -3.766
! Formation energy from the elements, meV per atom: 163
! D(E_F), states/eV per cell: 1.55
! Total magnetization, μB/atom: 0.00
! Energy above the most stable polymorph in this dataset, meV per atom: 0

# 2
! Al2InGe2 (GGA-PBE, optimized geometry); values from VASP
&SYSTEM
  ibrav = 0, nat = 5, ntyp = 3
/
ATOMIC_SPECIES
Al 26.98 Al.upf
In 114.82 In.upf
Ge 72.64 Ge.upf
CELL_PARAMETERS angstrom
-2.173 2.173 5.707
2.173 -2.173 5.707
2.173 2.173 -5.707
ATOMIC_POSITIONS crystal
Al 0.113 0.113 0.000
Al 0.887 0.887 0.000
In 0.500 0.500 0.000
Ge 0.250 0.750 0.500
Ge 0.750 0.250 0.500
! Symmetry: No. 139
! Total energy, eV/atom: -3.749
! Formation energy from the elements, meV per atom: 143
! D(E_F), states/eV per cell: 2.20
! Total magnetization, μB/atom: 0.00

# 3
! AlInGe (GGA-PBE, optimized geometry); values from VASP
&SYSTEM
  ibrav = 0, nat = 3, ntyp = 3
/
ATOMIC_SPECIES
Al 26.98 Al.upf
In 114.82 In.upf
Ge 72.64 Ge.upf
CELL_PARAMETERS angstrom
4.057 0.000 0.000
-2.029 3.514 0.000
0.000 0.000 4.856
ATOMIC_POSITIONS crystal
Al 0.000 0.000 0.000
In 0.667 0.333 0.425
Ge 0.333 0.667 0.800
! Symmetry: No. 156
! Total energy, eV/atom: -3.547
! Formation energy from the elements, meV per atom: 152
! D(E_F), states/eV per cell: 1.22
! Total magnetization, μB/atom: 0.00

# 4
! AlInGe2 (GGA-PBE, optimized geometry); values from VASP
&SYSTEM
  ibrav = 0, nat = 4, ntyp = 3
/
ATOMIC_SPECIES
Al 26.98 Al.upf
In 114.82 In.upf
Ge 72.64 Ge.upf
CELL_PARAMETERS angstrom
1.944 1.122 6.660
-1.944 1.122 6.660
0.000 -2.245 6.660
ATOMIC_POSITIONS crystal
Al 0.000 0.000 0.000
In 0.500 0.500 0.500
Ge 0.262 0.262 0.262
Ge 0.738 0.738 0.738
! Symmetry: No. 166
! Total energy, eV/atom: -3.752
! Formation energy from the elements, meV per atom: 177
! D(E_F), states/eV per cell: 1.75
! Total magnetization, μB/atom: 0.00
! Energy above the most stable polymorph in this dataset, meV per atom: 14

# 5
! Al2InGe2 (GGA-PBE, optimized geometry); values from VASP
&SYSTEM
  ibrav = 0, nat = 10, ntyp = 3
/
ATOMIC_SPECIES
Al 26.98 Al.upf
In 114.82 In.upf
Ge 72.64 Ge.upf
CELL_PARAMETERS angstrom
8.048 0.000 0.000
0.000 8.048 0.000
0.000 0.000 3.062
ATOMIC_POSITIONS crystal
Al 0.139 0.361 0.000
Al 0.361 0.861 0.000
Al 0.639 0.139 0.000
Al 0.861 0.639 0.000
In 0.000 0.000 0.500
In 0.500 0.500 0.500
Ge 0.154 0.654 0.500
Ge 0.346 0.154 0.500
Ge 0.654 0.846 0.500
Ge 0.846 0.346 0.500
! Symmetry: No. 127
! Total energy, eV/atom: -3.751
! Formation energy from the elements, meV per atom: 140
! D(E_F), states/eV per cell: 4.49
! Total magnetization, μB/atom: 0.00

# 6
! AlInGe2 (GGA-PBE, optimized geometry); values from VASP
&SYSTEM
  ibrav = 0, nat = 4, ntyp = 3
/
ATOMIC_SPECIES
Al 26.98 Al.upf
In 114.82 In.upf
Ge 72.64 Ge.upf
CELL_PARAMETERS angstrom
0.000 3.460 3.460
3.460 0.000 3.460
3.460 3.460 0.000
ATOMIC_POSITIONS crystal
Al 0.000 0.000 0.000
In 0.500 0.500 0.500
Ge 0.250 0.250 0.250
Ge 0.750 0.750 0.750
! Symmetry: No. 225
! Total energy, eV/atom: -3.670
! Formation energy from the elements, meV per atom: 259
! D(E_F), states/eV per cell: 2.46
! Total magnetization, μB/atom: 0.00
! Energy above the most stable polymorph in this dataset, meV per atom: 96

# 7
! Al2InGe2 (GGA-PBE, optimized geometry); values from VASP
&SYSTEM
  ibrav = 0, nat = 5, ntyp = 3
/
ATOMIC_SPECIES
Al 26.98 Al.upf
In 114.82 In.upf
Ge 72.64 Ge.upf
CELL_PARAMETERS angstrom
-2.290 2.290 5.065
2.290 -2.290 5.065
2.290 2.290 -5.065
ATOMIC_POSITIONS crystal
Al 0.250 0.750 0.500
Al 0.750 0.250 0.500
In 0.000 0.000 0.000
Ge 0.376 0.376 0.000
Ge 0.624 0.624 0.000
! Symmetry: No. 139
! Total energy, eV/atom: -3.811
! Formation energy from the elements, meV per atom: 80
! D(E_F), states/eV per cell: 2.14
! Total magnetization, μB/atom: 0.00

# 8
! La2AlInGe (GGA-PBE, optimized geometry); values from VASP
&SYSTEM
  ibrav = 0, nat = 10, ntyp = 4
/
ATOMIC_SPECIES
La 138.91 La.upf
Al 26.98 Al.upf
In 114.82 In.upf
Ge 72.64 Ge.upf
CELL_PARAMETERS angstrom
7.370 0.000 0.000
0.000 4.777 0.000
-0.802 0.000 7.873
ATOMIC_POSITIONS crystal
La 0.158 0.250 0.444
La 0.253 0.250 0.981
La 0.747 0.750 0.019
La 0.842 0.750 0.556
Al 0.438 0.750 0.324
Al 0.562 0.250 0.676
In 0.360 0.750 0.701
In 0.640 0.250 0.299
Ge 0.113 0.750 0.200
Ge 0.887 0.250 0.800
! Symmetry: No. 11
! Total energy, eV/atom: -4.749
! Formation energy from the elements, meV per atom: -558
! D(E_F), states/eV per cell: 3.54
! Total magnetization, μB/atom: 0.00

# 9
! Al2InGeO6 (GGA-PBE, optimized geometry); values from VASP
&SYSTEM
  ibrav = 0, nat = 20, ntyp = 4
/
ATOMIC_SPECIES
Al 26.98 Al.upf
In 114.82 In.upf
Ge 72.64 Ge.upf
O 16.00 O.upf
CELL_PARAMETERS angstrom
4.403 -4.999 0.000
4.403 4.999 0.000
-2.464 0.000 5.488
ATOMIC_POSITIONS crystal
Al 0.057 0.209 0.178
Al 0.209 0.057 0.678
Al 0.791 0.943 0.322
Al 0.943 0.791 0.822
In 0.399 0.601 0.750
In 0.601 0.399 0.250
Ge 0.286 0.714 0.250
Ge 0.714 0.286 0.750
O 0.066 0.168 0.460
O 0.138 0.627 0.899
O 0.168 0.066 0.960
O 0.293 0.452 0.318
O 0.373 0.862 0.601
O 0.452 0.293 0.818
O 0.548 0.707 0.182
O 0.627 0.138 0.399
O 0.707 0.548 0.682
O 0.832 0.934 0.040
O 0.862 0.373 0.101
O 0.934 0.832 0.540
! Symmetry: No. 15
! Total energy, eV/atom: -6.574
! D(E_F), states/eV per cell: 3.69
! Total magnetization, μB/atom: 0.07
! Formation energy without anion corrections, meV/atom: -2115

# 10
! AlIn2GeOs (GGA-PBE, optimized geometry); values from VASP
&SYSTEM
  ibrav = 0, nat = 5, ntyp = 4
/
ATOMIC_SPECIES
Al 26.98 Al.upf
In 114.82 In.upf
Ge 72.64 Ge.upf
Os 190.23 Os.upf
CELL_PARAMETERS angstrom
5.294 0.000 0.000
0.000 5.294 0.000
0.000 0.000 4.618
ATOMIC_POSITIONS crystal
Al 0.000 0.000 0.000
In 0.000 0.500 0.500
In 0.500 0.000 0.500
Ge 0.500 0.500 0.500
Os 0.500 0.500 0.000
! Symmetry: No. 123
! Total energy, eV/atom: -3.980
! Formation energy from the elements, meV per atom: 1033
! D(E_F), states/eV per cell: 3.03
! Total magnetization, μB/atom: 0.00

# 11
! AlIn2GePb (GGA-PBE, optimized geometry); values from VASP
&SYSTEM
  ibrav = 0, nat = 5, ntyp = 4
/
ATOMIC_SPECIES
Al 26.98 Al.upf
In 114.82 In.upf
Ge 72.64 Ge.upf
Pb 207.20 Pb.upf
CELL_PARAMETERS angstrom
5.268 0.000 0.000
0.000 5.268 0.000
0.000 0.000 5.444
ATOMIC_POSITIONS crystal
Al 0.000 0.000 0.000
In 0.000 0.500 0.000
In 0.500 0.000 0.000
Ge 0.500 0.500 0.500
Pb 0.000 0.000 0.500
! Symmetry: No. 123
! Total energy, eV/atom: -2.956
! Formation energy from the elements, meV per atom: 553
! D(E_F), states/eV per cell: 4.27
! Total magnetization, μB/atom: 0.00

# 12
! Pm2AlInGe (GGA-PBE, optimized geometry); values from VASP
&SYSTEM
  ibrav = 0, nat = 10, ntyp = 4
/
ATOMIC_SPECIES
Pm 145.00 Pm.upf
Al 26.98 Al.upf
In 114.82 In.upf
Ge 72.64 Ge.upf
CELL_PARAMETERS angstrom
7.472 0.000 0.000
0.000 4.578 0.000
-0.005 0.000 7.756
ATOMIC_POSITIONS crystal
Pm 0.003 0.250 0.218
Pm 0.497 0.250 0.217
Pm 0.503 0.750 0.783
Pm 0.997 0.750 0.782
Al 0.251 0.750 0.410
Al 0.749 0.250 0.590
In 0.250 0.250 0.600
In 0.750 0.750 0.400
Ge 0.250 0.750 0.088
Ge 0.750 0.250 0.912
! Symmetry: No. 11
! Total energy, eV/atom: -4.662
! Formation energy from the elements, meV per atom: -542
! D(E_F), states/eV per cell: 4.84
! Total magnetization, μB/atom: 0.00